A plane-wave DFT calculation with PBE was carried out for Ho3TmIr8 after structural relaxation.

Output
- energy of formation (eV per formula unit) = -9.88
- DOS at the Fermi energy (states/eV/atom) = 0.765
- crystal system = trigonal

```
data_Ho3TmIr8
_chemical_formula_sum 'Ho9 Tm3 Ir24'
_symmetry_space_group_name_H-M 'R 3 m'
_symmetry_Int_Tables_number 160
_symmetry_space_group_name_Hall 'R 3 -2"'
_cell_length_a 5.3460
_cell_length_b 5.3460
_cell_length_c 26.1624
_cell_angle_alpha 90.00
_cell_angle_beta 90.00
_cell_angle_gamma 120.00
loop_
_atom_site_label
_atom_site_type_symbol
_atom_site_fract_x
_atom_site_fract_y
_atom_site_fract_z
Ho1 Ho 0.0000 0.0000 0.0000
Ho2 Ho 0.0000 0.0000 0.1251
Ho3 Ho 0.0000 0.0000 0.6248
Tm1 Tm 0.0000 0.0000 0.4999
Ir1 Ir 0.0000 0.0000 0.3125
Ir2 Ir 0.0000 0.0000 0.8125
Ir3 Ir 0.0002 0.5001 0.0626
Ir4 Ir 0.9999 0.4999 0.5623
```

A plane-wave DFT calculation with PBE was carried out for HoTm2Ir after structural relaxation.

Output
- energy of formation (eV per formula unit) = -2.34
- DOS at the Fermi energy (states/eV/atom) = 1.036
- energy above the most stable polymorph in this dataset (meV per atom) = 36
- crystal system = orthorhombic

```
data_HoTm2Ir
_chemical_formula_sum 'Ho4 Tm8 Ir4'
_symmetry_space_group_name_H-M 'C m c m'
_symmetry_Int_Tables_number 63
_symmetry_space_group_name_Hall '-C 2c 2'
_cell_length_a 3.873
_cell_length_b 11.930
_cell_length_c 8.954
_cell_angle_alpha 90.00
_cell_angle_beta 90.00
_cell_angle_gamma 90.00
loop_
_atom_site_label
_atom_site_type_symbol
_atom_site_fract_x
_atom_site_fract_y
_atom_site_fract_z
Ho1 Ho 0.000 0.072 0.250
Tm1 Tm 0.000 0.358 0.066
Ir1 Ir 0.000 0.254 0.750
```

A plane-wave DFT calculation with PBE was carried out for HoTmZnIr after structural relaxation.

Output
- energy of formation (eV per formula unit) = -2.67
- DOS at the Fermi energy (states/eV/atom) = 0.679
- crystal system = cubic

```
data_HoTmZnIr
_chemical_formula_sum 'Ho4 Tm4 Zn4 Ir4'
_symmetry_space_group_name_H-M 'F -4 3 m'
_symmetry_Int_Tables_number 216
_symmetry_space_group_name_Hall 'F -4 2 3'
_cell_length_a 6.902
_cell_length_b 6.902
_cell_length_c 6.902
_cell_angle_alpha 90.00
_cell_angle_beta 90.00
_cell_angle_gamma 90.00
loop_
_atom_site_label
_atom_site_type_symbol
_atom_site_fract_x
_atom_site_fract_y
_atom_site_fract_z
Ho1 Ho 0.000 0.000 0.000
Tm1 Tm 0.000 0.000 0.500
Zn1 Zn 0.250 0.250 0.750
Ir1 Ir 0.250 0.250 0.250
```

A plane-wave DFT calculation with PBE was carried out for Ho3UIr8 after structural relaxation.

Output
- energy of formation (eV per formula unit) = -8.82
- DOS at the Fermi energy (states/eV/atom) = 0.915
- crystal system = trigonal

```
data_Ho3UIr8
_chemical_formula_sum 'Ho9 U3 Ir24'
_symmetry_space_group_name_H-M 'R 3 m'
_symmetry_Int_Tables_number 160
_symmetry_space_group_name_Hall 'R 3 -2"'
_cell_length_a 5.3495
_cell_length_b 5.3495
_cell_length_c 26.1668
_cell_angle_alpha 90.00
_cell_angle_beta 90.00
_cell_angle_gamma 120.00
loop_
_atom_site_label
_atom_site_type_symbol
_atom_site_fract_x
_atom_site_fract_y
_atom_site_fract_z
Ho1 Ho 0.0000 0.0000 0.0000
Ho2 Ho 0.0000 0.0000 0.1248
Ho3 Ho 0.0000 0.0000 0.4980
U1 U 0.0000 0.0000 0.6233
Ir1 Ir 0.0000 0.0000 0.3117
Ir2 Ir 0.0000 0.0000 0.8115
Ir3 Ir 0.0026 0.5013 0.5623
Ir4 Ir 0.1676 0.3353 0.3941
```

A plane-wave DFT calculation with PBE was carried out for HoUIr2 after structural relaxation.

Output
- energy of formation (eV per formula unit) = -2.52
- DOS at the Fermi energy (states/eV/atom) = 0.895
- crystal system = tetragonal

```
data_HoUIr2
_chemical_formula_sum 'Ho1 U1 Ir2'
_symmetry_space_group_name_H-M 'P 4/m m m'
_symmetry_Int_Tables_number 123
_symmetry_space_group_name_Hall '-P 4 2'
_cell_length_a 3.385
_cell_length_b 3.385
_cell_length_c 7.017
_cell_angle_alpha 90.00
_cell_angle_beta 90.00
_cell_angle_gamma 90.00
loop_
_atom_site_label
_atom_site_type_symbol
_atom_site_fract_x
_atom_site_fract_y
_atom_site_fract_z
Ho1 Ho 0.000 0.000 0.000
U1 U 0.000 0.000 0.500
Ir1 Ir 0.500 0.500 0.264
```

A plane-wave DFT calculation with PBE was carried out for HoUIr4 after structural relaxation.

Output
- energy of formation (eV per formula unit) = -3.95
- DOS at the Fermi energy (states/eV/atom) = 1.304
- crystal system = cubic

```
data_HoUIr4
_chemical_formula_sum 'Ho4 U4 Ir16'
_symmetry_space_group_name_H-M 'F -4 3 m'
_symmetry_Int_Tables_number 216
_symmetry_space_group_name_Hall 'F -4 2 3'
_cell_length_a 7.556
_cell_length_b 7.556
_cell_length_c 7.556
_cell_angle_alpha 90.00
_cell_angle_beta 90.00
_cell_angle_gamma 90.00
loop_
_atom_site_label
_atom_site_type_symbol
_atom_site_fract_x
_atom_site_fract_y
_atom_site_fract_z
Ho1 Ho 0.000 0.000 0.000
U1 U 0.250 0.250 0.750
Ir1 Ir 0.125 0.125 0.375
```

Copy entry 2 word for word.
A plane-wave DFT calculation with PBE was carried out for HoTm2Ir after structural relaxation.

Output
- energy of formation (eV per formula unit) = -2.34
- DOS at the Fermi energy (states/eV/atom) = 1.036
- energy above the most stable polymorph in this dataset (meV per atom) = 36
- crystal system = orthorhombic

```
data_HoTm2Ir
_chemical_formula_sum 'Ho4 Tm8 Ir4'
_symmetry_space_group_name_H-M 'C m c m'
_symmetry_Int_Tables_number 63
_symmetry_space_group_name_Hall '-C 2c 2'
_cell_length_a 3.873
_cell_length_b 11.930
_cell_length_c 8.954
_cell_angle_alpha 90.00
_cell_angle_beta 90.00
_cell_angle_gamma 90.00
loop_
_atom_site_label
_atom_site_type_symbol
_atom_site_fract_x
_atom_site_fract_y
_atom_site_fract_z
Ho1 Ho 0.000 0.072 0.250
Tm1 Tm 0.000 0.358 0.066
Ir1 Ir 0.000 0.254 0.750
```